[1]
Here is crystalline ZnAgS2Cl at its relaxed geometry from Alexandria via LeMat-Bulk. Energies are from PBE-GGA.

```
5
Lattice="4.8797 0.0000 0.0000 0.0000 4.8797 0.0000 0.0000 0.0000 4.8881" Properties=species:S:1:pos:R:3 pbc="T T T"
S 0.0000 2.4398 0.0000
S 2.4398 0.0000 0.0000
Ag 0.0000 0.0000 0.0000
Cl 0.0000 0.0000 2.4440
Zn 2.4398 2.4398 2.4440
```

## Properties
**Total magnetic moment**: 0.0 μB per formula unit
**Formation energy from raw total energies**: 52.1 kJ/mol of atoms
**Raw total energy**: -2.31 eV per atom

[2]
Here is crystalline ZnAgSCl2 at its relaxed geometry from Alexandria via LeMat-Bulk. Energies are from PBE-GGA.

```
5
Lattice="4.8445 0.0000 0.0000 0.0000 4.8445 0.0000 0.0000 0.0000 5.1700" Properties=species:S:1:pos:R:3 pbc="T T T"
Cl 2.4223 0.0000 0.0000
Cl 0.0000 2.4223 0.0000
S 0.0000 0.0000 2.5850
Ag 0.0000 0.0000 0.0000
Zn 2.4223 2.4223 2.5850
```

## Properties
**Total magnetic moment**: 0.0 μB per formula unit
**Formation energy from raw total energies**: 21.1 kJ/mol of atoms
**Raw total energy**: -2.17 eV per atom

[3]
Here is crystalline ZnAgSCl2 at its relaxed geometry from Alexandria via LeMat-Bulk. Energies are from PBE-GGA.

```
5
Lattice="-0.5205 4.3102 2.3215 -2.6148 1.7290 -3.7963 -3.9705 -1.5679 2.0208" Properties=species:S:1:pos:R:3 pbc="T T T"
Cl -0.2602 2.1551 1.1608
Cl -1.3074 0.8645 -1.8981
S -1.9853 -0.7839 1.0104
Zn 0.0000 0.0000 0.0000
Ag -3.5529 2.2357 0.2730
```

## Properties
**Total magnetic moment**: 1.0 μB per formula unit
**Formation energy from raw total energies**: -9.3 kJ/mol of atoms
**Raw total energy**: -2.49 eV per atom

[4]
Here is crystalline ZnAgS2Cl at its relaxed geometry from Alexandria via LeMat-Bulk. Energies are from PBE-GGA.

```
5
Lattice="4.5838 0.0000 0.0000 0.0000 4.5838 0.0000 0.0000 0.0000 5.3099" Properties=species:S:1:pos:R:3 pbc="T T T"
Ag 2.2919 2.2919 2.6549
Zn 0.0000 0.0000 0.0000
S 2.2919 0.0000 0.0000
S 0.0000 2.2919 0.0000
Cl 0.0000 0.0000 2.6549
```

## Properties
**Total magnetic moment**: 0.6 μB per formula unit
**Formation energy from raw total energies**: 24.6 kJ/mol of atoms
**Raw total energy**: -2.59 eV per atom

[5]
Here is crystalline ZrAgS2Cl at its relaxed geometry from Alexandria via LeMat-Bulk. Energies are from PBE-GGA.

```
5
Lattice="4.8611 0.0000 0.0000 0.0000 4.8611 0.0000 0.0000 0.0000 4.7048" Properties=species:S:1:pos:R:3 pbc="T T T"
S 0.0000 2.4305 0.0000
S 2.4305 0.0000 0.0000
Zr 2.4305 2.4305 2.3524
Ag 0.0000 0.0000 0.0000
Cl 0.0000 0.0000 2.3524
```

## Properties
**Total magnetic moment**: 1.1 μB per formula unit
**Formation energy from raw total energies**: 22.8 kJ/mol of atoms
**Raw total energy**: -4.06 eV per atom

[6]
Here is crystalline ZrAgS2Cl at its relaxed geometry from Alexandria via LeMat-Bulk. Energies are from PBE-GGA.

```
5
Lattice="5.0070 0.0000 0.0000 0.0000 5.0070 0.0000 0.0000 0.0000 5.0295" Properties=species:S:1:pos:R:3 pbc="T T T"
Zr 0.0000 0.0000 0.0000
S 0.0000 2.5035 0.0000
S 2.5035 0.0000 0.0000
Cl 0.0000 0.0000 2.5147
Ag 2.5035 2.5035 2.5147
```

## Properties
**Total magnetic moment**: 0.0 μB per formula unit
**Formation energy from raw total energies**: -68.0 kJ/mol of atoms
**Raw total energy**: -5.01 eV per atom

[7]
Here is crystalline ZrAgSCl2 at its relaxed geometry from Alexandria via LeMat-Bulk. Energies are from PBE-GGA.

```
5
Lattice="-0.9913 4.9296 0.4880 -3.1174 -0.2340 -3.9686 -3.8017 -1.0664 3.0491" Properties=species:S:1:pos:R:3 pbc="T T T"
Ag -3.9552 1.8146 -0.2157
Cl -0.4957 2.4648 0.2440
Cl -1.5587 -0.1170 -1.9843
Zr 0.0000 0.0000 0.0000
S -1.9008 -0.5332 1.5246
```

## Properties
**Total magnetic moment**: 0.0 μB per formula unit
**Formation energy from raw total energies**: -76.9 kJ/mol of atoms
**Raw total energy**: -4.64 eV per atom

[8]
Here is crystalline ZrAgSCl2 at its relaxed geometry from Alexandria via LeMat-Bulk. Energies are from PBE-GGA.

```
5
Lattice="4.9032 0.0000 0.0000 0.0000 4.9032 0.0000 0.0000 0.0000 4.9793" Properties=species:S:1:pos:R:3 pbc="T T T"
S 0.0000 0.0000 2.4896
Ag 0.0000 0.0000 0.0000
Cl 0.0000 2.4516 0.0000
Cl 2.4516 0.0000 0.0000
Zr 2.4516 2.4516 2.4896
```

## Properties
**Total magnetic moment**: 1.7 μB per formula unit
**Formation energy from raw total energies**: 12.3 kJ/mol of atoms
**Raw total energy**: -3.72 eV per atom

[9]
Here is crystalline Ag3SbCl at its relaxed geometry from Alexandria via LeMat-Bulk. Energies are from PBE-GGA.

```
5
Lattice="5.0149 0.0000 0.0000 0.0000 5.0149 0.0000 0.0000 0.0000 5.0149" Properties=species:S:1:pos:R:3 pbc="T T T"
Ag 2.5075 0.0000 0.0000
Ag 0.0000 0.0000 2.5075
Ag 0.0000 2.5075 0.0000
Sb 2.5075 2.5075 2.5075
Cl 0.0000 0.0000 0.0000
```

## Properties
**Total magnetic moment**: 0.0 μB per formula unit
**Formation energy from raw total energies**: 44.7 kJ/mol of atoms
**Raw total energy**: -2.44 eV per atom

[10]
Here is crystalline AgSbCl2 at its relaxed geometry from Alexandria via LeMat-Bulk. Energies are from PBE-GGA.

```
4
Lattice="3.4530 0.0000 0.0000 0.0000 3.4530 0.0000 0.0000 0.0000 8.3200" Properties=species:S:1:pos:R:3 pbc="T T T"
Cl 0.0000 0.0000 7.5666
Cl 1.7265 1.7265 2.5637
Ag 1.7265 1.7265 6.2219
Sb 0.0000 0.0000 4.4478
```

## Properties
**Total magnetic moment**: 0.0 μB per formula unit
**Formation energy from raw total energies**: -19.7 kJ/mol of atoms
**Raw total energy**: -2.87 eV per atom

[11]
Here is crystalline AgSbCl2 at its relaxed geometry from Alexandria via LeMat-Bulk. Energies are from PBE-GGA.

```
4
Lattice="-2.1133 6.8350 -1.0485 -6.4273 3.3006 -0.2776 4.3877 -4.6059 3.4374" Properties=species:S:1:pos:R:3 pbc="T T T"
Cl -3.1550 1.8813 1.2484
Cl 0.0000 0.0000 0.0000
Sb -4.2703 5.0678 -0.6631
Ag -0.9980 3.6484 0.8629
```

## Properties
**Total magnetic moment**: 0.8 μB per formula unit
**Formation energy from raw total energies**: 1.8 kJ/mol of atoms
**Raw total energy**: -2.65 eV per atom

[12]
Here is crystalline AgSb2Cl at its relaxed geometry from Alexandria via LeMat-Bulk. Energies are from PBE-GGA.

```
4
Lattice="3.5018 -0.0225 0.0000 -1.2202 3.2824 0.0000 0.0000 0.0000 8.8566" Properties=species:S:1:pos:R:3 pbc="T T T"
Sb 1.1408 1.6300 2.3797
Sb 0.0000 0.0000 0.1401
Cl 1.1408 1.6300 6.2026
Ag 0.0000 0.0000 4.5624
```

## Properties
**Total magnetic moment**: 0.0 μB per formula unit
**Formation energy from raw total energies**: -2.0 kJ/mol of atoms
**Raw total energy**: -3.26 eV per atom

How do the records compare in distance to the lowest polymorph of the same formula? In the order shown, they have 1.43 1.58 0.00 0.00 4.71 0.00 0.00 4.63 2.84 0.70 1.59 0.30 eV/f.u..